A plane-wave DFT calculation with GGA+U was carried out for an optimized crystal structure of Er3MoCl2O6.

Results
Magnetic moment: 1.000 μB/cell
Volume: 199.0 Å³/cell
E: -6.999 eV per atom
SG: C2/m

Lattice parameters (Å, degrees): 5.4536 6.5055 6.5667 119.69 80.86 90.00
Last column: nearest neighbours and their distance in Å.
Sites, in units of the cell vectors:
O  0.2966  0.1816  0.8808  1 Mo 2.10, 2 Er 2.25-2.35
O  0.2966  0.6992  0.8808  1 Mo 2.10, 2 Er 2.25-2.35
O  0.6684  0.8305  0.6609  1 Mo 1.98, 2 Er 2.15
O  0.7034  0.3008  0.1192  1 Mo 2.10, 2 Er 2.25-2.35
O  0.3316  0.1695  0.3391  1 Mo 1.98, 2 Er 2.15
O  0.7034  0.8184  0.1192  1 Mo 2.10, 2 Er 2.25-2.35
Cl  0.8483  0.2944  0.5888  3 Er 2.62-2.63, 1 O 2.76
Cl  0.1517  0.7056  0.4112  3 Er 2.62-2.63, 1 O 2.76
Er  0.5000  0.5000  0.5000  4 O 2.15-2.25
Er  0.0000  0.5000  0.0000  4 O 2.35, 2 Cl 2.63
Er  0.5000  0.0000  0.5000  4 O 2.15-2.25
Mo  0.5000  0.0000  0.0000  6 O 1.98-2.10